The following is a DFT calculation (PBE with a Hubbard U) of a relaxed structure of HoBi2WO8.

Output
uncorrected energy	-6.841	eV/atom

```
12
Lattice="3.642 -3.643 0.000 3.642 3.643 0.000 0.000 0.000 6.803" Properties=species:S:1:pos:R:3 pbc="T T T"
Ho 0.000 0.000 0.000
Bi 3.642 0.000 1.723
Bi 3.642 0.000 5.080
W 0.000 0.000 3.401
O 1.300 0.000 1.918
O 1.300 0.000 4.885
O 3.642 1.695 3.401
O 3.642 1.402 0.000
O 3.642 -1.402 0.000
O 3.642 -1.695 3.401
O 5.984 0.000 1.918
O 5.984 0.000 4.885
```